# 1
Computed, not measured: La2Ho2Cd after structural relaxation at the PBE-GGA level of DFT.

Unit cell a=8.6229 b=6.3928 c=9.1545 alpha=68.98 beta=57.86 gamma=47.59
Last column: nearest neighbours and their distance in Å.
Sites, in units of the cell vectors:
Cd1 0.8401 0.3198 0.0000  1 Cd 3.02, 2 Ho 3.12
Cd2 0.1599 0.6802 0.0000  1 Cd 3.02, 2 Ho 3.12
Ho1 0.6702 0.3671 0.7223  2 Cd 3.12-3.39, 1 La 3.43, 2 Ho 3.46-3.47
La1 0.4064 0.0000 0.8762  4 Cd 3.41-3.64, 3 La 3.41-3.61, 6 Ho 3.43-3.75
La2 0.2646 0.0000 0.5701  6 Ho 3.50-3.76, 3 La 3.52-3.61, 2 Cd 3.66
Ho2 0.3298 0.6329 0.2777  2 Cd 3.12-3.39, 1 La 3.43, 2 Ho 3.46-3.47
La3 0.5936 0.0000 0.1238  4 Cd 3.41-3.64, 3 La 3.41-3.61, 6 Ho 3.43-3.75
La4 0.7354 0.0000 0.4299  6 Ho 3.50-3.76, 3 La 3.52-3.61, 2 Cd 3.66
Ho3 0.9627 0.3671 0.2777  2 Cd 3.12-3.39, 1 La 3.43, 2 Ho 3.46-3.47
Ho4 0.0373 0.6329 0.7223  2 Cd 3.12-3.39, 1 La 3.43, 2 Ho 3.46-3.47

Results
Its distance to the lowest polymorph of the same formula is 0.062 eV/atom. The formation energy is -23 kJ/mol of formula units. Its space group is No. 12. The total energy comes out at -4.032 eV per atom. The density of states at the Fermi level is 1.15 states/eV per atom.

---

# 2
Computed, not measured: Hg2POs after structural relaxation at the PBE-GGA level of DFT.

Unit cell a=3.7585 b=3.7585 c=5.2390 alpha=90.00 beta=90.00 gamma=90.00
Last column: nearest neighbours and their distance in Å.
Sites, in units of the cell vectors:
Hg1 0.0000 0.0000 0.7506  2 Hg 2.61-2.63
Os1 0.5000 0.5000 0.0000  2 P 2.62
P1 0.5000 0.5000 0.5000  2 Os 2.62
Hg2 0.0000 0.0000 0.2494  2 Hg 2.61-2.63

Results
The formation energy is 374 kJ/mol of formula units. Its space group is No. 123. The total energy comes out at -3.343 eV per atom. The density of states at the Fermi level is 0.84 states/eV per atom.